(1)
The following is a GGA-PBE calculation of Sm2DyAg2 after structural relaxation, from the Alexandria database.

Cell: 3.732 14.947 10.041 Å, 90.00 90.00 90.00°
Space group Cmc2_1 (No. 36)
One atom of each set of equivalent atoms:
1 Sm 0.000 0.118 0.000 [4 per cell]
2 Sm 0.000 0.301 0.226 [4 per cell]
3 Dy 0.000 0.431 0.845 [4 per cell]
4 Ag 0.000 0.044 0.666 [4 per cell]
5 Ag 0.000 0.204 0.488 [4 per cell]

Results
Density of states at the Fermi level, states/eV per cell: 23.9
Uncorrected energy, eV/atom: -4.050
ρ, g/cm³: 8.05
ΔE_f, eV per formula unit: -0.50


(2)
The following is a GGA-PBE calculation of SmDy4Ag after structural relaxation, from the Alexandria database.

Cell: 5.451 20.869 6.458 Å, 90.00 90.00 90.00°
Space group Cmc2_1 (No. 36)
One atom of each set of equivalent atoms:
1 Sm 0.000 0.135 0.000 [4 per cell]
2 Dy 0.000 0.066 0.506 [4 per cell]
3 Dy 0.000 0.257 0.626 [4 per cell]
4 Dy 0.000 0.324 0.141 [4 per cell]
5 Dy 0.000 0.465 0.341 [4 per cell]
6 Ag 0.000 0.397 0.749 [4 per cell]

Results
Density of states at the Fermi level, states/eV per cell: 35.5
Uncorrected energy, eV/atom: -4.277
ρ, g/cm³: 8.21
ΔE_f, eV per formula unit: 0.31


(3)
The following is a GGA-PBE calculation of Sm4DyAg after structural relaxation, from the Alexandria database.

Cell: 5.520 20.974 6.499 Å, 90.00 90.00 90.00°
Space group Cmc2_1 (No. 36)
One atom of each set of equivalent atoms:
1 Sm 0.000 0.035 0.000 [4 per cell]
2 Sm 0.000 0.178 0.812 [4 per cell]
3 Sm 0.000 0.247 0.286 [4 per cell]
4 Sm 0.000 0.436 0.170 [4 per cell]
5 Dy 0.000 0.367 0.671 [4 per cell]
6 Ag 0.000 0.106 0.408 [4 per cell]

Results
Density of states at the Fermi level, states/eV per cell: 30.2
Uncorrected energy, eV/atom: -4.346
ρ, g/cm³: 7.70
ΔE_f, eV per formula unit: 0.25


(4)
The following is a GGA-PBE calculation of SmDy2Ag4 after structural relaxation, from the Alexandria database.

Cell: 7.261 7.261 7.051 Å, 90.00 90.00 90.00°
Space group I4/mmm (No. 139)
One atom of each set of equivalent atoms:
1 Sm 0.000 0.000 0.000 [2 per cell]
2 Dy 0.000 0.500 0.000 [4 per cell]
3 Ag 0.250 0.250 0.250 [8 per cell]

Results
Density of states at the Fermi level, states/eV per cell: 8.8
Uncorrected energy, eV/atom: -3.700
ρ, g/cm³: 8.10
ΔE_f, eV per formula unit: -0.57


Question: Among the records above, which one has the highest uncorrected energy?
Answer: SmDy2Ag4